Entry 1:
VASP calculation (PBE) on a relaxed structure of CeDyCuS4.

Values from the calculation:
Final energy in eV/atom: -5.938
Space-group type: Imma (74)

Cell and atoms, written as POSCAR:
```
CeDyCuS4
1.0
-3.8519 3.9557 5.4810
3.8519 -3.9557 5.4810
3.8519 3.9557 -5.4810
Ce Dy Cu S
2 2 2 8
Direct
0.0000 0.0000 0.0000
0.5000 0.0000 0.5000
0.5000 0.0000 0.0000
0.5000 0.5000 0.5000
0.1222 0.3722 0.7500
0.8778 0.6278 0.2500
0.2493 0.2485 0.4992
0.2493 0.7502 0.0008
0.2522 0.2491 0.0031
0.2540 0.7509 0.5031
0.7460 0.2491 0.4969
0.7478 0.7509 0.9969
0.7507 0.2498 0.9992
0.7507 0.7515 0.5008
```

=====

Entry 2:
VASP calculation (PBE) on a relaxed structure of Ce2DyCuS5.

Values from the calculation:
Final energy in eV/atom: -6.318
Space-group type: Cmc2_1 (36)
DOS at the Fermi energy in states/eV/cell: 23.2

Cell and atoms, written as POSCAR:
```
Ce2DyCuS5
1.0
1.9426 -8.2126 0.0000
1.9426 8.2126 0.0000
0.0000 0.0000 11.8999
Ce Dy Cu S
4 2 2 10
Direct
0.1150 0.8850 0.5000
0.1170 0.8830 0.8463
0.8830 0.1170 0.3463
0.8850 0.1150 0.0000
0.1800 0.8200 0.1790
0.8200 0.1800 0.6790
0.4493 0.5507 0.5764
0.5507 0.4493 0.0764
0.0153 0.9847 0.1682
0.3025 0.6975 0.8400
0.3127 0.6873 0.5146
0.3452 0.6548 0.1728
0.4944 0.5056 0.9033
0.5056 0.4944 0.4033
0.6548 0.3452 0.6728
0.6873 0.3127 0.0146
0.6975 0.3025 0.3400
0.9847 0.0153 0.6682
```

=====

Number 1: total magnetic moment 0.0 μB per cell. Number 2: total magnetic moment 3.6 μB per cell.